# 1
La2Be, optimized geometry, DFT PBE; symmetry = I4/mmm (139)
1.0
-1.8532 1.8532 6.0576
1.8532 -1.8532 6.0576
1.8532 1.8532 -6.0576
La Be
2 1
Direct
0.1355 0.1355 0.0000
0.8645 0.8645 0.0000
0.5000 0.5000 0.0000



# 2
LaBe2, optimized geometry, DFT PBE; symmetry = P6/mmm (191)
1.0
4.2409 0.0000 0.0000
-2.1204 3.6727 0.0000
0.0000 0.0000 3.6757
La Be
1 2
Direct
0.0000 0.0000 0.0000
0.3333 0.6667 0.5000
0.6667 0.3333 0.5000



# 3
LaBe2, optimized geometry, DFT PBE; symmetry = Pnma (62)
1.0
5.4338 0.0000 0.0000
0.0000 3.7106 0.0000
0.0000 0.0000 10.9761
La Be
4 8
Direct
0.1102 0.2500 0.1557
0.3898 0.7500 0.6557
0.6102 0.2500 0.3443
0.8898 0.7500 0.8443
0.0909 0.2500 0.4674
0.1352 0.7500 0.3779
0.3648 0.2500 0.8779
0.4091 0.7500 0.9674
0.5909 0.2500 0.0326
0.6352 0.7500 0.1221
0.8648 0.2500 0.6221
0.9091 0.7500 0.5326



# 4
La5Be4, optimized geometry, DFT PBE; symmetry = I4/mmm (139)
1.0
-4.8512 4.8512 2.1999
4.8512 -4.8512 2.1999
4.8512 4.8512 -2.1999
La Be
5 4
Direct
0.0000 0.0000 0.0000
0.3248 0.3248 0.6496
0.3248 0.6752 0.0000
0.6752 0.3248 0.0000
0.6752 0.6752 0.3504
0.0000 0.3860 0.3860
0.0000 0.6140 0.6140
0.3860 0.0000 0.3860
0.6140 0.0000 0.6140



# 5
La2Be, optimized geometry, DFT PBE; symmetry = P6_3/mmc (194)
1.0
5.0549 0.0000 0.0000
-2.5274 4.3776 0.0000
0.0000 0.0000 7.2574
La Be
4 2
Direct
0.0000 0.0000 0.0000
0.0000 0.0000 0.5000
0.3333 0.6667 0.2500
0.6667 0.3333 0.7500
0.3333 0.6667 0.7500
0.6667 0.3333 0.2500



# 6
LaBe3, optimized geometry, DFT PBE; symmetry = R-3m (166)
1.0
4.5490 2.6264 0.9054
-4.5490 2.6264 0.9054
0.0000 -5.2528 0.9054
La Be
1 3
Direct
0.0000 0.0000 0.0000
0.0000 0.5000 0.5000
0.5000 0.0000 0.5000
0.5000 0.5000 0.0000



# 7
La5Be4, optimized geometry, DFT PBE; symmetry = P6_3/mcm (193)
1.0
8.7662 0.0000 0.0000
-4.3831 7.5918 0.0000
0.0000 0.0000 6.9948
La Be
10 8
Direct
0.0000 0.2711 0.2500
0.0000 0.7289 0.7500
0.2711 0.0000 0.2500
0.2711 0.2711 0.7500
0.3333 0.6667 0.0000
0.3333 0.6667 0.5000
0.6667 0.3333 0.0000
0.6667 0.3333 0.5000
0.7289 0.0000 0.7500
0.7289 0.7289 0.2500
0.0000 0.0000 0.0000
0.0000 0.0000 0.5000
0.0000 0.3878 0.7500
0.0000 0.6122 0.2500
0.3878 0.0000 0.7500
0.3878 0.3878 0.2500
0.6122 0.0000 0.2500
0.6122 0.6122 0.7500



# 8
La2Be, optimized geometry, DFT PBE; symmetry = Cmc2_1 (36)
1.0
1.9592 -6.2991 0.0000
1.9592 6.2991 0.0000
0.0000 0.0000 7.0165
La Be
4 2
Direct
0.0212 0.9788 0.5000
0.2869 0.7131 0.3102
0.7131 0.2869 0.8102
0.9788 0.0212 0.0000
0.3878 0.6122 0.7256
0.6122 0.3878 0.2256



| no. | energy relative to the elements (eV/f.u.) | calculated volume (Å³ per atom) |
| --- | --- | --- |
| 1 | 0.45 | 27.74 |
| 2 | 0.70 | 19.08 |
| 3 | 0.27 | 18.44 |
| 4 | 4.01 | 23.01 |
| 5 | 0.61 | 26.77 |
| 6 | 3.68 | 16.23 |
| 7 | 2.97 | 25.86 |
| 8 | 0.63 | 28.86 |